Below is an optimized crystal structure of Pm3Sm12Y5, with properties calculated at the PBE-GGA level.

```
80
Lattice="-9.493 9.493 9.493 9.493 -9.493 9.493 9.493 9.493 -9.493" Properties=species:S:1:pos:R:3 pbc="T T T"
Pm 4.746 2.373 0.000
Pm 9.493 4.746 -2.373
Pm 2.373 0.000 4.746
Pm 11.866 0.000 4.746
Pm 0.000 4.746 2.373
Pm 4.746 -2.373 9.493
Pm 4.746 11.866 0.000
Pm 9.493 4.746 7.119
Pm -2.373 9.493 4.746
Pm 7.119 9.493 4.746
Pm 0.000 4.746 11.866
Pm 4.746 7.119 9.493
Sm 9.337 -1.567 2.763
Sm 14.394 -1.983 3.179
Sm 2.763 -0.155 1.567
Sm 11.476 6.314 -4.901
Sm 12.256 0.155 1.567
Sm 11.476 -3.179 4.901
Sm 1.567 2.763 -0.155
Sm 12.671 4.591 -1.983
Sm 6.314 4.901 -1.983
Sm 7.925 2.763 0.155
Sm -0.155 1.567 2.763
Sm 4.901 -1.983 6.314
Sm 9.337 7.925 -2.763
Sm 4.901 1.983 3.179
Sm 7.925 -2.763 9.337
Sm 6.314 -4.901 11.476
Sm 3.179 4.901 1.983
Sm 11.060 6.729 0.155
Sm 2.763 9.337 -1.567
Sm 11.476 3.179 4.591
Sm 1.983 3.179 4.901
Sm 2.763 0.155 7.925
Sm 4.901 11.476 -3.179
Sm 9.337 1.567 6.729
Sm 0.155 7.925 2.763
Sm 4.591 -1.983 12.671
Sm 6.729 9.337 1.567
Sm 7.509 6.314 4.591
Sm -1.983 6.314 4.901
Sm 6.729 0.155 11.060
Sm -1.567 2.763 9.337
Sm 6.314 4.591 7.509
Sm 3.179 14.394 -1.983
Sm 1.567 12.256 0.155
Sm 4.591 7.509 6.314
Sm 0.155 1.567 12.256
Sm 4.591 11.476 3.179
Sm 9.648 7.925 6.729
Sm 1.567 6.729 9.337
Sm 3.179 4.591 11.476
Sm -3.179 4.901 11.476
Sm 7.925 6.729 9.648
Sm -1.983 12.671 4.591
Sm -2.763 9.337 7.925
Sm -1.983 3.179 14.394
Sm 6.729 9.648 7.925
Sm -4.901 11.476 6.314
Sm 0.155 11.060 6.729
Y 0.000 0.000 0.000
Y 4.746 4.746 -4.746
Y 4.746 -4.746 4.746
Y 9.493 0.000 0.000
Y 14.239 2.373 0.000
Y 9.493 -4.746 7.119
Y 7.119 9.493 -4.746
Y 7.119 0.000 4.746
Y 4.746 7.119 0.000
Y 9.493 4.746 2.373
Y -4.746 4.746 4.746
Y 0.000 9.493 0.000
Y 0.000 0.000 9.493
Y 4.746 4.746 4.746
Y 0.000 4.746 7.119
Y 4.746 2.373 9.493
Y 2.373 9.493 4.746
Y 2.373 0.000 14.239
Y 0.000 14.239 2.373
Y -4.746 7.119 9.493
```

Computed properties:
Uncorrected energy   -4.13 eV per atom
Calculated formation energy   1.031 eV/atom
Space-group type   Ia-3d